Below is a relaxed structure of PdSBrCl2, with properties calculated at the PBE-GGA level.

Lattice parameters (Å, degrees): 4.8228 4.8228 4.8116 90.00 90.00 90.00
Space group P4/mmm (No. 123)
Unique sites:
1 Pd 0.0000 0.0000 0.0000 x1
2 S 0.0000 0.0000 0.5000 x1
3 Br 0.5000 0.5000 0.5000 x1
4 Cl 0.0000 0.5000 0.0000 x2

Calculated values
Final energy: -2.672 eV per atom
Volume: 111.9 Å³/cell
Mass density: 4.3 g/cm3
Offset from the most stable computed form: 0 meV per atom
Energy relative to the elements, uncorrected: 265 meV/atom
Total magnetization: 0.0009 μB/atom



Below is a relaxed structure of PdS2BrCl, with properties calculated at the PBE-GGA level.

Lattice parameters (Å, degrees): 4.8613 4.8613 5.1046 90.00 90.00 90.00
Space group P4/mmm (No. 123)
Unique sites:
1 Pd 0.0000 0.0000 0.0000 x1
2 S 0.0000 0.5000 0.5000 x2
3 Br 0.5000 0.5000 0.5000 x1
4 Cl 0.5000 0.5000 0.0000 x1

Calculated values
Final energy: -2.277 eV per atom
Volume: 120.6 Å³/cell
Mass density: 3.9 g/cm3
Offset from the most stable computed form: 630 meV per atom
Energy relative to the elements, uncorrected: 1116 meV/atom
Total magnetization: 0.2683 μB/atom



Below is a relaxed structure of ScPd2BrCl, with properties calculated at the PBE-GGA level.

Lattice parameters (Å, degrees): 4.6378 4.6378 6.2076 90.00 90.00 90.00
Space group P4/mmm (No. 123)
Unique sites:
1 Sc 0.0000 0.0000 0.0000 x1
2 Pd 0.0000 0.5000 0.5000 x2
3 Br 0.5000 0.5000 0.5000 x1
4 Cl 0.5000 0.5000 0.0000 x1

Calculated values
Final energy: -3.805 eV per atom
Volume: 133.5 Å³/cell
Mass density: 4.6 g/cm3
Energy relative to the elements, uncorrected: 242 meV/atom
Total magnetization: 0.1942 μB/atom



Below is a relaxed structure of PdSeBr2Cl, with properties calculated at the PBE-GGA level.

Lattice parameters (Å, degrees): 5.2295 5.2295 5.0303 90.00 90.00 90.00
Space group P4/mmm (No. 123)
Unique sites:
1 Pd 0.0000 0.0000 0.0000 x1
2 Se 0.5000 0.5000 0.0000 x1
3 Br 0.0000 0.5000 0.5000 x2
4 Cl 0.5000 0.5000 0.5000 x1

Calculated values
Final energy: -1.883 eV per atom
Volume: 137.6 Å³/cell
Mass density: 4.6 g/cm3
Offset from the most stable computed form: 600 meV per atom
Energy relative to the elements, uncorrected: 891 meV/atom
Total magnetization: 0.2668 μB/atom



Below is a relaxed structure of PdSeBr2Cl, with properties calculated at the PBE-GGA level.

Lattice parameters (Å, degrees): 5.1485 5.1485 4.9884 90.00 90.00 90.00
Space group P4/mmm (No. 123)
Unique sites:
1 Pd 0.0000 0.0000 0.0000 x1
2 Se 0.0000 0.0000 0.5000 x1
3 Br 0.0000 0.5000 0.0000 x2
4 Cl 0.5000 0.5000 0.5000 x1

Calculated values
Final energy: -2.483 eV per atom
Volume: 132.2 Å³/cell
Mass density: 4.8 g/cm3
Offset from the most stable computed form: 0 meV per atom
Energy relative to the elements, uncorrected: 291 meV/atom
Total magnetization: 0.4089 μB/atom



Below is a relaxed structure of PdSeBrCl, with properties calculated at the PBE-GGA level.

Lattice parameters (Å, degrees): 3.5759 4.2579 8.2922 80.26 77.63 65.19
Space group P1 (No. 1)
Unique sites:
1 Pd 0.0000 0.0000 0.0000 x1
2 Se 0.5650 0.7096 0.1613 x1
3 Br 0.3066 0.9735 0.4157 x1
4 Cl 0.4683 0.2395 0.8230 x1

Calculated values
Final energy: -3.371 eV per atom
Volume: 111.5 Å³/cell
Mass density: 4.5 g/cm3
Energy relative to the elements, uncorrected: -322 meV/atom
Total magnetization: 0.0000 μB/atom



- Which of these has the highest mass density?
  number 5